(1)
A plane-wave DFT calculation with PBE with a Hubbard U was carried out for a relaxed structure of MoIrOF2.

As for the energy: -5.058 eV/atom. For the magnetic moment, the calculation gives 0.7 μB/f.u. The calculated density is 8.13 g/cm³. As for the distance to the lowest polymorph of the same formula: 1.186 eV per formula unit.

Structure (CIF):
```
data_MoIrOF2
_chemical_formula_sum 'Mo1 Ir1 O1 F2'
_cell_length_a 4.247
_cell_length_b 4.247
_cell_length_c 3.873
_cell_angle_alpha 90.00
_cell_angle_beta 90.00
_cell_angle_gamma 90.00
_symmetry_space_group_name_H-M 'P 4/m m m'
_symmetry_Int_Tables_number 123
_symmetry_space_group_name_Hall '-P 4 2'
loop_
_atom_site_label
_atom_site_fract_x
_atom_site_fract_y
_atom_site_fract_z
_atom_site_occupancy
Mo1 0.000 0.000 0.000 1
Ir1 0.500 0.500 0.500 1
O1 0.000 0.000 0.500 1
F1 0.000 0.500 0.000 1
```



(2)
A plane-wave DFT calculation with PBE with a Hubbard U was carried out for a relaxed structure of Mo2IrOF.

As for the energy: -4.754 eV/atom. For the magnetic moment, the calculation gives 8.0 μB/f.u. The calculated density is 7.48 g/cm³.

Structure (CIF):
```
data_Mo2IrOF
_chemical_formula_sum 'Mo2 Ir1 O1 F1'
_cell_length_a 4.897
_cell_length_b 4.897
_cell_length_c 3.877
_cell_angle_alpha 90.00
_cell_angle_beta 90.00
_cell_angle_gamma 90.00
_symmetry_space_group_name_H-M 'P 4/m m m'
_symmetry_Int_Tables_number 123
_symmetry_space_group_name_Hall '-P 4 2'
loop_
_atom_site_label
_atom_site_fract_x
_atom_site_fract_y
_atom_site_fract_z
_atom_site_occupancy
Mo1 0.000 0.500 0.000 1
Ir1 0.000 0.000 0.500 1
O1 0.500 0.500 0.500 1
F1 0.000 0.000 0.000 1
```



(3)
A plane-wave DFT calculation with PBE with a Hubbard U was carried out for a relaxed structure of MoIrOF2.

As for the energy: -5.295 eV/atom. For the magnetic moment, the calculation gives 4.7 μB/f.u. The calculated density is 7.41 g/cm³. As for the distance to the lowest polymorph of the same formula: 0.000 eV per formula unit.

Structure (CIF):
```
data_MoIrOF2
_chemical_formula_sum 'Mo1 Ir1 O1 F2'
_cell_length_a 4.534
_cell_length_b 4.534
_cell_length_c 3.731
_cell_angle_alpha 90.00
_cell_angle_beta 90.00
_cell_angle_gamma 90.00
_symmetry_space_group_name_H-M 'P 4/m m m'
_symmetry_Int_Tables_number 123
_symmetry_space_group_name_Hall '-P 4 2'
loop_
_atom_site_label
_atom_site_fract_x
_atom_site_fract_y
_atom_site_fract_z
_atom_site_occupancy
Mo1 0.000 0.000 0.000 1
Ir1 0.500 0.500 0.500 1
O1 0.500 0.500 0.000 1
F1 0.000 0.500 0.500 1
```



(4)
A plane-wave DFT calculation with PBE with a Hubbard U was carried out for a relaxed structure of MoIr2OsF.

As for the energy: -5.969 eV/atom. For the magnetic moment, the calculation gives 3.0 μB/f.u. The calculated density is 9.77 g/cm³.

Structure (CIF):
```
data_MoIr2OsF
_chemical_formula_sum 'Mo1 Ir2 Os1 F1'
_cell_length_a 4.645
_cell_length_b 4.645
_cell_length_c 5.435
_cell_angle_alpha 90.00
_cell_angle_beta 90.00
_cell_angle_gamma 90.00
_symmetry_space_group_name_H-M 'P 4/m m m'
_symmetry_Int_Tables_number 123
_symmetry_space_group_name_Hall '-P 4 2'
loop_
_atom_site_label
_atom_site_fract_x
_atom_site_fract_y
_atom_site_fract_z
_atom_site_occupancy
Mo1 0.000 0.000 0.000 1
Ir1 0.000 0.500 0.500 1
Os1 0.000 0.000 0.500 1
F1 0.500 0.500 0.000 1
```



(5)
A plane-wave DFT calculation with PBE with a Hubbard U was carried out for a relaxed structure of MoIrOs2F.

As for the energy: -6.568 eV/atom. For the magnetic moment, the calculation gives 2.0 μB/f.u. The calculated density is 12.34 g/cm³.

Structure (CIF):
```
data_MoIrOs2F
_chemical_formula_sum 'Mo1 Ir1 Os2 F1'
_cell_length_a 4.806
_cell_length_b 4.806
_cell_length_c 4.006
_cell_angle_alpha 90.00
_cell_angle_beta 90.00
_cell_angle_gamma 90.00
_symmetry_space_group_name_H-M 'P 4/m m m'
_symmetry_Int_Tables_number 123
_symmetry_space_group_name_Hall '-P 4 2'
loop_
_atom_site_label
_atom_site_fract_x
_atom_site_fract_y
_atom_site_fract_z
_atom_site_occupancy
Mo1 0.000 0.000 0.000 1
Ir1 0.500 0.500 0.500 1
Os1 0.000 0.500 0.500 1
F1 0.500 0.500 0.000 1
```



(6)
A plane-wave DFT calculation with PBE with a Hubbard U was carried out for a relaxed structure of Rb2MoIrF6.

As for the energy: -4.834 eV/atom. For the magnetic moment, the calculation gives 5.0 μB/f.u. The calculated density is 5.11 g/cm³.

Structure (CIF):
```
data_Rb2MoIrF6
_chemical_formula_sum 'Rb4 Mo2 Ir2 F12'
_cell_length_a 6.630
_cell_length_b 6.630
_cell_length_c 8.467
_cell_angle_alpha 90.00
_cell_angle_beta 90.00
_cell_angle_gamma 90.00
_symmetry_space_group_name_H-M 'I 4/m m m'
_symmetry_Int_Tables_number 139
_symmetry_space_group_name_Hall '-I 4 2'
loop_
_atom_site_label
_atom_site_fract_x
_atom_site_fract_y
_atom_site_fract_z
_atom_site_occupancy
Rb1 0.000 0.500 0.250 1
Mo1 0.000 0.000 0.000 1
Ir1 0.000 0.000 0.500 1
F1 0.000 0.000 0.250 1
F2 0.223 0.223 0.000 1
```



(7)
A plane-wave DFT calculation with PBE with a Hubbard U was carried out for a relaxed structure of MoIr2RhF.

As for the energy: -4.982 eV/atom. For the magnetic moment, the calculation gives 0.5 μB/f.u. The calculated density is 9.41 g/cm³.

Structure (CIF):
```
data_MoIr2RhF
_chemical_formula_sum 'Mo1 Ir2 Rh1 F1'
_cell_length_a 4.730
_cell_length_b 4.730
_cell_length_c 4.752
_cell_angle_alpha 90.00
_cell_angle_beta 90.00
_cell_angle_gamma 90.00
_symmetry_space_group_name_H-M 'P 4/m m m'
_symmetry_Int_Tables_number 123
_symmetry_space_group_name_Hall '-P 4 2'
loop_
_atom_site_label
_atom_site_fract_x
_atom_site_fract_y
_atom_site_fract_z
_atom_site_occupancy
Mo1 0.000 0.000 0.000 1
Ir1 0.000 0.500 0.000 1
Rh1 0.000 0.000 0.500 1
F1 0.500 0.500 0.500 1
```



(8)
A plane-wave DFT calculation with PBE with a Hubbard U was carried out for a relaxed structure of MoIrSF2.

As for the energy: -5.050 eV/atom. For the magnetic moment, the calculation gives 3.1 μB/f.u. The calculated density is 6.77 g/cm³.

Structure (CIF):
```
data_MoIrSF2
_chemical_formula_sum 'Mo1 Ir1 S1 F2'
_cell_length_a 3.900
_cell_length_b 3.900
_cell_length_c 5.780
_cell_angle_alpha 90.00
_cell_angle_beta 90.00
_cell_angle_gamma 90.00
_symmetry_space_group_name_H-M 'P 4/m m m'
_symmetry_Int_Tables_number 123
_symmetry_space_group_name_Hall '-P 4 2'
loop_
_atom_site_label
_atom_site_fract_x
_atom_site_fract_y
_atom_site_fract_z
_atom_site_occupancy
Mo1 0.000 0.000 0.000 1
Ir1 0.000 0.000 0.500 1
S1 0.500 0.500 0.000 1
F1 0.000 0.500 0.500 1
```